[1]
Density functional theory data (PBE-GGA) for Sc3Re5 after structural relaxation.

Calculated values
* V: 17.22 A^3/atom
* space group: C2/m (12)

abc: 7.7135 7.7135 7.7100
angles: 96.59 96.59 140.34
Fractional positions:
Sc1 0.1920 0.8080 0.0000
Sc2 0.2501 0.7499 0.5000
Sc3 0.3083 0.3083 0.6160
Sc4 0.6917 0.6917 0.3840
Sc5 0.7499 0.2501 0.5000
Sc6 0.8080 0.1920 0.0000
Re1 0.0543 0.2385 0.2931
Re2 0.2385 0.0543 0.2931
Re3 0.2501 0.2501 0.0004
Re4 0.2612 0.5547 0.8155
Re5 0.4453 0.7388 0.1845
Re6 0.5547 0.2612 0.8155
Re7 0.7388 0.4453 0.1845
Re8 0.7499 0.7499 0.9996
Re9 0.7615 0.9457 0.7069
Re10 0.9457 0.7615 0.7069


[2]
Density functional theory data (PBE-GGA) for NaTlAg after structural relaxation.

Calculated values
* V: 26.13 A^3/atom
* space group: R3m (160)

abc: 4.4081 4.4081 4.4081
angles: 75.21 75.21 75.21
Fractional positions:
Na1 0.0000 0.0000 0.0000
Tl1 0.6295 0.6295 0.6295
Ag1 0.3206 0.3206 0.3206


[3]
Density functional theory data (PBE-GGA) for TmZnSn after structural relaxation.

Calculated values
* V: 23.44 A^3/atom
* space group: Cm (8)

abc: 8.3443 8.3443 4.1753
angles: 104.26 104.26 30.02
Fractional positions:
Tm1 0.0000 0.0000 0.0000
Tm2 0.2221 0.2221 0.7309
Zn1 0.6713 0.6713 0.1633
Zn2 0.8229 0.8229 0.1361
Sn1 0.3890 0.3890 0.4747
Sn2 0.5701 0.5701 0.5598


[4]
Density functional theory data (PBE-GGA) for Tb2ErTh4 after structural relaxation.

Calculated values
* V: 37.59 A^3/atom
* space group: I4/mmm (139)

abc: 9.1160 9.1160 9.1160
angles: 143.77 143.77 52.18
Fractional positions:
Tb1 0.1149 0.1149 0.0000
Tb2 0.8851 0.8851 0.0000
Er1 0.5000 0.5000 0.0000
Th1 0.0000 0.5000 0.5000
Th2 0.3130 0.3130 0.0000
Th3 0.5000 0.0000 0.5000
Th4 0.6870 0.6870 0.0000


no.,formation energy from the elements (meV per atom),VASP energy (eV per atom),total magnetic moment (μB/cell)
1,236,-9.919,0.00
2,47,-2.132,0.00
3,-375,-3.625,0.00
4,971,-5.243,0.01